DFT (PBE) results for a relaxed structure of SbAuI5.

```
data_SbAuI5
_chemical_formula_sum 'Sb2 Au2 I10'
_cell_length_a 7.8364
_cell_length_b 7.8376
_cell_length_c 11.7709
_cell_angle_alpha 107.87
_cell_angle_beta 107.88
_cell_angle_gamma 80.53
_space_group_name_H-M_alt 'P 1'
_space_group_IT_number 1
loop_
_space_group_symop_operation_xyz
'x,y,z'
loop_
_atom_site_label
_atom_site_type_symbol
_atom_site_fract_x
_atom_site_fract_y
_atom_site_fract_z
I1 I 0.4124 0.0872 0.2499
I2 I 0.3026 0.6692 0.9089
I3 I 0.1694 0.8025 0.4091
I4 I 0.1426 0.2276 0.9385
I5 I 0.5876 0.9128 0.7501
I6 I 0.6974 0.3308 0.0911
I7 I 0.8306 0.1975 0.5909
I8 I 0.2723 0.3571 0.5616
I9 I 0.7277 0.6429 0.4384
I10 I 0.8574 0.7724 0.0615
Sb1 Sb 0.5000 0.0000 0.5000
Sb2 Sb 0.5000 0.0000 0.0000
Au1 Au 0.8295 0.6706 0.2500
Au2 Au 0.1705 0.3294 0.7500
```

Properties
- DOS at the Fermi energy: 2.140 states/eV/f.u.
- Total energy: -16.01 eV per formula unit
- E_form (uncorrected): -0.12 eV per atom
- V: 653 Å³/cell

DFT (PBE) results for a relaxed structure of Cs2NbBr5Cl.

```
data_Cs2NbBr5Cl
_chemical_formula_sum 'Cs2 Nb1 Br5 Cl1'
_cell_length_a 7.8007
_cell_length_b 7.8007
_cell_length_c 7.8007
_cell_angle_alpha 90.91
_cell_angle_beta 119.48
_cell_angle_gamma 119.48
_space_group_name_H-M_alt 'P 1'
_space_group_IT_number 1
loop_
_space_group_symop_operation_xyz
'x,y,z'
loop_
_atom_site_label
_atom_site_type_symbol
_atom_site_fract_x
_atom_site_fract_y
_atom_site_fract_z
Nb1 Nb 0.0000 0.9975 0.9975
Cs1 Cs 0.5000 0.2486 0.7486
Cs2 Cs 0.5000 0.7486 0.2486
Br1 Br 0.0000 0.7636 0.2334
Br2 Br 0.0000 0.2334 0.7636
Br3 Br 0.5302 0.7636 0.7636
Br4 Br 0.4698 0.2334 0.2334
Br5 Br 0.0000 0.2350 0.2350
Cl1 Cl 0.0000 0.7763 0.7763
```

Properties
- DOS at the Fermi energy: 6.845 states/eV/f.u.
- Total energy: -34.52 eV per formula unit
- E_form (uncorrected): -1.39 eV per atom
- V: 338 Å³/cell

DFT (PBE) results for a relaxed structure of La3Ru.

```
data_La3Ru
_chemical_formula_sum 'La3 Ru1'
_cell_length_a 4.9361
_cell_length_b 4.9361
_cell_length_c 4.5226
_cell_angle_alpha 90.00
_cell_angle_beta 90.00
_cell_angle_gamma 81.82
_space_group_name_H-M_alt 'P 1'
_space_group_IT_number 1
loop_
_space_group_symop_operation_xyz
'x,y,z'
loop_
_atom_site_label
_atom_site_type_symbol
_atom_site_fract_x
_atom_site_fract_y
_atom_site_fract_z
La1 La 0.0000 0.5000 0.5000
La2 La 0.0000 0.0000 0.0000
La3 La 0.5000 0.0000 0.5000
Ru1 Ru 0.5000 0.5000 0.0000
```

Properties
- DOS at the Fermi energy: 5.084 states/eV/f.u.
- Total energy: -23.39 eV per formula unit
- V: 109 Å³/cell
- Energy of formation from the pure elements: 0.17 eV per atom

DFT (PBE) results for a relaxed structure of LiCr4Os.

```
data_LiCr4Os
_chemical_formula_sum 'Li1 Cr4 Os1'
_cell_length_a 4.7154
_cell_length_b 4.7154
_cell_length_c 4.7154
_cell_angle_alpha 60.00
_cell_angle_beta 60.00
_cell_angle_gamma 60.00
_space_group_name_H-M_alt 'P 1'
_space_group_IT_number 1
loop_
_space_group_symop_operation_xyz
'x,y,z'
loop_
_atom_site_label
_atom_site_type_symbol
_atom_site_fract_x
_atom_site_fract_y
_atom_site_fract_z
Os1 Os 0.0000 0.0000 0.0000
Cr1 Cr 0.3758 0.8725 0.3758
Cr2 Cr 0.8725 0.3758 0.3758
Cr3 Cr 0.3758 0.3758 0.8725
Cr4 Cr 0.3758 0.3758 0.3758
Li1 Li 0.7500 0.7500 0.7500
```

Properties
- DOS at the Fermi energy: 5.152 states/eV/f.u.
- Total energy: -50.43 eV per formula unit
- V: 74 Å³/cell
- Energy of formation from the pure elements: 0.20 eV per atom

DFT (PBE) results for a relaxed structure of Sm2Cu4Ni3.

```
data_Sm2Cu4Ni3
_chemical_formula_sum 'Sm2 Cu4 Ni3'
_cell_length_a 4.9515
_cell_length_b 5.0367
_cell_length_c 6.8211
_cell_angle_alpha 79.72
_cell_angle_beta 68.72
_cell_angle_gamma 60.56
_space_group_name_H-M_alt 'P 1'
_space_group_IT_number 1
loop_
_space_group_symop_operation_xyz
'x,y,z'
loop_
_atom_site_label
_atom_site_type_symbol
_atom_site_fract_x
_atom_site_fract_y
_atom_site_fract_z
Cu1 Cu 0.6620 0.3431 0.3330
Cu2 Cu 0.3380 0.6569 0.6670
Cu3 Cu 0.0050 0.6569 0.3330
Cu4 Cu 0.9950 0.3431 0.6670
Sm1 Sm 0.6311 0.0000 0.7377
Sm2 Sm 0.3689 0.0000 0.2623
Ni1 Ni 0.0000 0.5000 0.0000
Ni2 Ni 0.5000 0.5000 0.0000
Ni3 Ni 0.0000 0.0000 0.0000
```

Properties
- DOS at the Fermi energy: 5.460 states/eV/f.u.
- Total energy: -45.51 eV per formula unit
- V: 138 Å³/cell
- Energy of formation from the pure elements: -0.26 eV per atom

DFT (PBE) results for a relaxed structure of BaTaTc2.

```
data_BaTaTc2
_chemical_formula_sum 'Ba1 Ta1 Tc2'
_cell_length_a 5.6381
_cell_length_b 5.6381
_cell_length_c 5.6381
_cell_angle_alpha 146.95
_cell_angle_beta 120.76
_cell_angle_gamma 69.54
_space_group_name_H-M_alt 'P 1'
_space_group_IT_number 1
loop_
_space_group_symop_operation_xyz
'x,y,z'
loop_
_atom_site_label
_atom_site_type_symbol
_atom_site_fract_x
_atom_site_fract_y
_atom_site_fract_z
Ba1 Ba 0.2500 0.7500 0.5000
Tc1 Tc 0.9738 0.9738 0.0000
Tc2 Tc 0.5262 0.5262 0.0000
Ta1 Ta 0.7500 0.2500 0.5000
```

Properties
- DOS at the Fermi energy: 4.293 states/eV/f.u.
- Total energy: -30.41 eV per formula unit
- V: 83 Å³/cell
- Energy of formation from the pure elements: 1.03 eV per atom
- ΔE to the lowest computed polymorph: 55.8 kJ per mole of atoms

DFT (PBE) results for a relaxed structure of Pm5PrDy3.

```
data_Pm5PrDy3
_chemical_formula_sum 'Pm10 Pr2 Dy6'
_cell_length_a 9.4130
_cell_length_b 10.0309
_cell_length_c 7.3084
_cell_angle_alpha 90.00
_cell_angle_beta 90.00
_cell_angle_gamma 117.98
_space_group_name_H-M_alt 'P 1'
_space_group_IT_number 1
loop_
_space_group_symop_operation_xyz
'x,y,z'
loop_
_atom_site_label
_atom_site_type_symbol
_atom_site_fract_x
_atom_site_fract_y
_atom_site_fract_z
Pm1 Pm 0.5117 0.6701 0.5008
Pm2 Pm 0.3347 0.0000 0.7500
Pm3 Pm 0.8415 0.3300 0.5008
Pm4 Pm 0.1583 0.6701 0.0008
Pm5 Pm 0.5114 0.6700 0.9992
Pm6 Pm 0.1585 0.6700 0.4992
Pm7 Pm 0.6653 0.0000 0.2500
Pm8 Pm 0.4883 0.3299 0.4992
Pm9 Pm 0.4886 0.3300 0.0008
Pm10 Pm 0.8417 0.3299 0.9992
Dy1 Dy 0.8216 0.6430 0.2500
Dy2 Dy 0.0000 0.0000 0.5000
Dy3 Dy 0.0000 0.0000 0.0000
Dy4 Dy 0.1784 0.3570 0.7500
Dy5 Dy 0.8213 0.6430 0.7500
Dy6 Dy 0.1787 0.3570 0.2500
Pr1 Pr 0.6988 0.0000 0.7500
Pr2 Pr 0.3012 0.0000 0.2500
```

Properties
- DOS at the Fermi energy: 12.358 states/eV/f.u.
- Total energy: -41.18 eV per formula unit
- V: 609 Å³/cell
- Energy of formation from the pure elements: 0.13 eV per atom
- ΔE to the lowest computed polymorph: 0.0 kJ per mole of atoms

DFT (PBE) results for a relaxed structure of VCuRh2.

```
data_VCuRh2
_chemical_formula_sum 'V2 Cu2 Rh4'
_cell_length_a 6.6366
_cell_length_b 6.6366
_cell_length_c 5.4182
_cell_angle_alpha 52.23
_cell_angle_beta 52.23
_cell_angle_gamma 90.00
_space_group_name_H-M_alt 'P 1'
_space_group_IT_number 1
loop_
_space_group_symop_operation_xyz
'x,y,z'
loop_
_atom_site_label
_atom_site_type_symbol
_atom_site_fract_x
_atom_site_fract_y
_atom_site_fract_z
Rh1 Rh 0.8750 0.8457 0.7500
Rh2 Rh 0.3750 0.4043 0.7500
Rh3 Rh 0.5957 0.1250 0.2500
Rh4 Rh 0.1543 0.6250 0.2500
V1 V 0.2500 0.7500 0.5000
V2 V 0.5000 0.5000 0.0000
Cu1 Cu 0.0000 0.0000 0.0000
Cu2 Cu 0.7500 0.2500 0.5000
```

Properties
- DOS at the Fermi energy: 1.052 states/eV/f.u.
- Total energy: -27.52 eV per formula unit
- V: 119 Å³/cell
- Energy of formation from the pure elements: 0.10 eV per atom

DFT (PBE) results for a relaxed structure of Na3Ga2Pt3.

```
data_Na3Ga2Pt3
_chemical_formula_sum 'Na3 Ga2 Pt3'
_cell_length_a 5.5268
_cell_length_b 5.5268
_cell_length_c 7.1079
_cell_angle_alpha 67.12
_cell_angle_beta 67.12
_cell_angle_gamma 60.00
_space_group_name_H-M_alt 'P 1'
_space_group_IT_number 1
loop_
_space_group_symop_operation_xyz
'x,y,z'
loop_
_atom_site_label
_atom_site_type_symbol
_atom_site_fract_x
_atom_site_fract_y
_atom_site_fract_z
Ga1 Ga 0.7695 0.7695 0.6915
Ga2 Ga 0.2305 0.2305 0.3085
Pt1 Pt 0.5000 0.5000 0.0000
Pt2 Pt 0.5000 0.0000 0.0000
Pt3 Pt 0.0000 0.5000 0.0000
Na1 Na 0.0739 0.0739 0.7783
Na2 Na 0.9261 0.9261 0.2217
Na3 Na 0.5000 0.5000 0.5000
```

Properties
- DOS at the Fermi energy: 3.569 states/eV/f.u.
- Total energy: -30.83 eV per formula unit
- V: 168 Å³/cell
- Energy of formation from the pure elements: -0.34 eV per atom

DFT (PBE) results for a relaxed structure of DyHoTm4.

```
data_DyHoTm4
_chemical_formula_sum 'Dy1 Ho1 Tm4'
_cell_length_a 6.4757
_cell_length_b 6.4757
_cell_length_c 6.4757
_cell_angle_alpha 60.00
_cell_angle_beta 60.00
_cell_angle_gamma 60.00
_space_group_name_H-M_alt 'P 1'
_space_group_IT_number 1
loop_
_space_group_symop_operation_xyz
'x,y,z'
loop_
_atom_site_label
_atom_site_type_symbol
_atom_site_fract_x
_atom_site_fract_y
_atom_site_fract_z
Tm1 Tm 0.6250 0.1249 0.6250
Tm2 Tm 0.1249 0.6250 0.6250
Tm3 Tm 0.6250 0.6250 0.1249
Tm4 Tm 0.6250 0.6250 0.6250
Ho1 Ho 0.0000 0.0000 0.0000
Dy1 Dy 0.2500 0.2500 0.2500
```

Properties
- DOS at the Fermi energy: 11.303 states/eV/f.u.
- Total energy: -25.42 eV per formula unit
- V: 192 Å³/cell
- Energy of formation from the pure elements: 0.28 eV per atom
- ΔE to the lowest computed polymorph: 18.7 kJ per mole of atoms

DFT (PBE) results for a relaxed structure of ZrMn2Cu.

```
data_ZrMn2Cu
_chemical_formula_sum 'Zr1 Mn2 Cu1'
_cell_length_a 9.0094
_cell_length_b 9.0094
_cell_length_c 9.0094
_cell_angle_alpha 18.64
_cell_angle_beta 18.64
_cell_angle_gamma 18.64
_space_group_name_H-M_alt 'P 1'
_space_group_IT_number 1
loop_
_space_group_symop_operation_xyz
'x,y,z'
loop_
_atom_site_label
_atom_site_type_symbol
_atom_site_fract_x
_atom_site_fract_y
_atom_site_fract_z
Zr1 Zr 0.2500 0.2500 0.2500
Cu1 Cu 0.7500 0.7500 0.7500
Mn1 Mn 0.0083 0.0083 0.0083
Mn2 Mn 0.4917 0.4917 0.4917
```

Properties
- DOS at the Fermi energy: 5.009 states/eV/f.u.
- Total energy: -29.47 eV per formula unit
- V: 65 Å³/cell
- Energy of formation from the pure elements: 0.38 eV per atom